Entry 1:
CaAgN2F | the Alexandria database | GGA-PBE | optimized geometry; energy above the lowest structure with this stoichiometry = 0 meV/atom; spin magnetization = 2.207 Bohr magnetons per cell; formation energy from raw total energies = 238 meV per atom; Fermi-level density of states = 0.34 states/eV per atom
1.0
4.014 0.000 0.000
0.000 4.014 0.000
0.000 0.000 4.750
Ca N Ag F
1 2 1 1
Direct
0.500 0.500 0.500
0.000 0.500 0.000
0.500 0.000 0.000
0.000 0.000 0.000
0.000 0.000 0.500



Entry 2:
CaAgN2F | the Alexandria database | GGA-PBE | optimized geometry; energy above the lowest structure with this stoichiometry = 297 meV/atom; spin magnetization = 4.000 Bohr magnetons per cell; formation energy from raw total energies = 534 meV per atom; Fermi-level density of states = 0.33 states/eV per atom
1.0
4.745 0.000 0.000
0.000 4.745 0.000
0.000 0.000 4.258
Ca N Ag F
1 2 1 1
Direct
0.000 0.000 0.000
0.000 0.500 0.000
0.500 0.000 0.000
0.500 0.500 0.500
0.000 0.000 0.500



Entry 3:
CaAgNF2 | the Alexandria database | GGA-PBE | optimized geometry; energy above the lowest structure with this stoichiometry = 0 meV/atom; spin magnetization = 2.000 Bohr magnetons per cell; formation energy from raw total energies = -994 meV per atom; Fermi-level density of states = 0.37 states/eV per atom
1.0
4.319 0.000 0.000
0.000 4.319 0.000
0.000 0.000 4.913
Ca N Ag F
1 1 1 2
Direct
0.000 0.000 0.000
0.000 0.000 0.500
0.500 0.500 0.500
0.000 0.500 0.000
0.500 0.000 0.000



Repeat the second record exactly.
CaAgN2F | the Alexandria database | GGA-PBE | optimized geometry; energy above the lowest structure with this stoichiometry = 297 meV/atom; spin magnetization = 4.000 Bohr magnetons per cell; formation energy from raw total energies = 534 meV per atom; Fermi-level density of states = 0.33 states/eV per atom
1.0
4.745 0.000 0.000
0.000 4.745 0.000
0.000 0.000 4.258
Ca N Ag F
1 2 1 1
Direct
0.000 0.000 0.000
0.000 0.500 0.000
0.500 0.000 0.000
0.500 0.500 0.500
0.000 0.000 0.500



Which value of formation energy from raw total energies does entry 1 give? 238 meV per atom



Which of these has the lowest spin magnetization? CaAgNF2